Computed, not measured: a geometry-optimized Na2BTeS4 structure at the PBE level of DFT.

Lattice parameters (Å, degrees): 8.453 8.453 7.588 112.12 112.12 104.07
Positions (direct):
S 0.392 0.343 0.552
S 0.843 0.892 0.052
S 0.751 0.316 0.063
S 0.157 0.108 0.948
S 0.608 0.657 0.448
B 0.000 0.000 0.000
Te 0.000 0.500 0.500
Te 0.000 0.500 0.000
Na 0.000 0.000 0.500
Na 0.500 0.000 0.000
B 0.500 0.500 0.500
Na 0.500 0.000 0.500
S 0.249 0.684 0.937
S 0.816 0.251 0.563
S 0.184 0.749 0.437
Na 0.500 0.500 0.000

Results
Crystal system: monoclinic
Raw formation energy: -426.2 meV per atom
D(E_F): 2.8 states/eV/cell
Density: 2.50 g cm⁻³

---

Computed, not measured: a geometry-optimized SrMg2Tc structure at the PBE level of DFT.

Lattice parameters (Å, degrees): 3.679 4.943 5.209 90.00 90.00 90.00
Site moments in Bohr magnetons follow the coordinates.
Positions (direct):
Sr 0.500 0.000 0.500  0.00
Tc 0.000 0.500 0.500  1.54
Mg 0.000 0.000 0.000  -0.01
Mg 0.500 0.500 0.000  -0.01

Results
Crystal system: orthorhombic
Energy of formation: 0.639 eV/atom
D(E_F): 4.3 states/eV/cell
Density: 4.11 g cm⁻³

---

Computed, not measured: a geometry-optimized ZrBi2C structure at the PBE level of DFT.

Lattice parameters (Å, degrees): 7.219 7.219 6.202 54.41 54.41 90.00
Positions (direct):
Bi 0.201 0.625 0.250
Bi 0.549 0.125 0.250
Bi 0.875 0.799 0.750
C 0.500 0.500 0.000
Zr 0.000 0.000 0.000
Zr 0.750 0.250 0.500
Bi 0.375 0.451 0.750
C 0.250 0.750 0.500

Results
Crystal system: tetragonal
Energy of formation: 1.002 eV/atom
D(E_F): 4.7 states/eV/cell
Density: 9.43 g cm⁻³

---

Computed, not measured: a geometry-optimized AlFe2Mo structure at the PBE level of DFT.

Lattice parameters (Å, degrees): 8.537 8.537 8.537 18.27 18.27 18.27
Site moments in Bohr magnetons follow the coordinates.
Positions (direct):
Al 0.744 0.744 0.744  -0.03
Fe 0.997 0.997 0.997  2.00
Mo 0.504 0.504 0.504  -0.31
Fe 0.254 0.254 0.254  1.55

Results
Crystal system: trigonal
Energy of formation: 0.104 eV/atom
D(E_F): 4.3 states/eV/cell
Density: 7.30 g cm⁻³

---

Computed, not measured: a geometry-optimized Cs2SrCd2 structure at the PBE level of DFT.

Lattice parameters (Å, degrees): 9.250 9.250 9.250 145.67 145.67 49.34
Positions (direct):
Cd 0.584 0.584 0.000
Sr 0.000 0.000 0.000
Cd 0.416 0.416 0.000
Cs 0.250 0.750 0.500
Cs 0.750 0.250 0.500

Results
Crystal system: tetragonal
Energy of formation: 0.103 eV/atom
D(E_F): 5.4 states/eV/cell
Density: 3.83 g cm⁻³

---

Computed, not measured: a geometry-optimized TaAlCd2 structure at the PBE level of DFT.

Lattice parameters (Å, degrees): 5.930 5.930 5.930 150.12 132.07 57.51
Positions (direct):
Ta 0.750 0.250 0.500
Cd 0.497 0.497 0.000
Cd 0.003 0.003 0.000
Al 0.250 0.750 0.500

Results
Crystal system: orthorhombic
Energy of formation: 0.209 eV/atom
D(E_F): 2.3 states/eV/cell
Density: 9.39 g cm⁻³

---

Q: What is the density in the fourth record?
A: 7.30 g cm⁻³